[1]
Computed, not measured: RbCe3Hg2Cl12 after structural relaxation at the PBE level of DFT.

Lattice parameters (Å, degrees): 10.5542 10.5542 24.5584 90.00 90.00 120.00
Last column: nearest neighbours and their distance in Å.
Space group R-3m (No. 166, hexagonal axes)
Symmetry-distinct sites (fractional):
Rb: 0.0000 0.0000 0.0000  6 Cl 3.37
Ce: 0.0000 0.5000 0.5000  6 Cl 2.56-2.74
Hg: 0.0000 0.0000 0.3994  9 Cl 4.42-4.55, 1 Hg 4.94
Cl: 0.0051 0.5025 0.6043  1 Ce 2.56
Cl: 0.0849 0.5424 0.8334  2 Ce 2.74

***

[2]
Computed, not measured: CeHoCl6 after structural relaxation at the PBE level of DFT.

Lattice parameters (Å, degrees): 6.8416 6.8416 18.7351 90.00 90.00 120.00
Last column: nearest neighbours and their distance in Å.
Space group R-3 (No. 148, hexagonal axes)
Symmetry-distinct sites (fractional):
Ce: 0.0000 0.0000 0.0000  6 Cl 2.78
Ho: 0.0000 0.0000 0.5000  6 Cl 2.64
Cl: 0.0102 0.6520 0.2478  1 Ho 2.64, 1 Ce 2.78

***

[3]
Computed, not measured: CeHoCl6 after structural relaxation at the PBE level of DFT.

Lattice parameters (Å, degrees): 6.7879 12.2730 6.7797 90.00 105.50 90.00
Last column: nearest neighbours and their distance in Å.
Space group C2/m (No. 12)
Symmetry-distinct sites (fractional):
Ce: 0.0000 0.0000 0.0000  6 Cl 2.76-2.78
Ho: 0.0000 0.5000 0.5000  6 Cl 2.64-2.65
Cl: 0.2363 0.3554 0.7414  1 Ho 2.65, 1 Ce 2.78
Cl: 0.2483 0.5000 0.2600  1 Ho 2.64, 1 Ce 2.76

***

[4]
Computed, not measured: Ce3HoCl after structural relaxation at the PBE level of DFT.

Lattice parameters (Å, degrees): 5.3412 5.3412 5.3412 90.00 90.00 90.00
Last column: nearest neighbours and their distance in Å.
Space group Pm-3m (No. 221)
Symmetry-distinct sites (fractional):
Ce: 0.0000 0.0000 0.5000  2 Cl 2.67
Ho: 0.5000 0.5000 0.5000  12 Ce 3.78
Cl: 0.0000 0.0000 0.0000  6 Ce 2.67

***

[5]
Computed, not measured: CeHoCl3 after structural relaxation at the PBE level of DFT.

Lattice parameters (Å, degrees): 15.9152 3.8887 10.7211 90.00 119.22 90.00
Last column: nearest neighbours and their distance in Å.
Space group C2/m (No. 12)
Symmetry-distinct sites (fractional):
Ce: 0.1416 0.0000 0.2944  5 Cl 2.81-2.92
Ho: 0.0851 0.5000 0.9540  4 Cl 2.74-2.79
Cl: 0.0508 0.0000 0.7552  2 Ho 2.74, 1 Ce 2.84
Cl: 0.1538 0.5000 0.5056  3 Ce 2.90-2.92
Cl: 0.2219 0.0000 0.1118  2 Ho 2.79, 1 Ce 2.81

***

[6]
Computed, not measured: CeHo2Cl after structural relaxation at the PBE level of DFT.

Lattice parameters (Å, degrees): 3.5598 3.5598 29.5299 90.00 90.00 120.00
Last column: nearest neighbours and their distance in Å.
Space group R-3m (No. 166, hexagonal axes)
Symmetry-distinct sites (fractional):
Ce: 0.0000 0.0000 0.0000  6 Ho 3.43, 6 Ce 3.56
Ho: 0.0000 0.0000 0.2404  3 Cl 2.99
Cl: 0.0000 0.0000 0.5000  6 Ho 2.99

***

[7]
Computed, not measured: Li2CeHoCl8 after structural relaxation at the PBE level of DFT.

Lattice parameters (Å, degrees): 6.2895 8.1556 6.3595 90.00 93.64 90.00
Last column: nearest neighbours and their distance in Å.
Space group P2/m (No. 10)
Symmetry-distinct sites (fractional):
Li: 0.0000 0.2407 0.0000  6 Cl 2.60-2.80
Ce: 0.5000 0.5000 0.5000  6 Cl 2.71-2.80
Ho: 0.5000 0.0000 0.5000  6 Cl 2.62-2.66
Cl: 0.1958 0.5000 0.1795  2 Li 2.67, 1 Ce 2.71
Cl: 0.2046 0.0000 0.1903  2 Li 2.60, 1 Ho 2.62
Cl: 0.2948 0.2379 0.6879  1 Ho 2.66, 1 Li 2.80, 1 Ce 2.80

***

[8]
Computed, not measured: CeHoSe2Cl after structural relaxation at the PBE level of DFT.

Lattice parameters (Å, degrees): 4.1902 4.1902 14.0188 90.00 90.00 90.00
Last column: nearest neighbours and their distance in Å.
Space group P4/nmm (No. 129, origin choice 2)
Symmetry-distinct sites (fractional):
Ce: 0.2500 0.2500 0.1483  4 Cl 2.95, 4 Se 3.07
Ho: 0.2500 0.2500 0.5940  6 Se 2.82-2.97
Se: 0.2500 0.2500 0.3877  5 Ho 2.89-2.97
Se: 0.2500 0.2500 0.7948  1 Ho 2.82, 4 Ce 3.07
Cl: 0.2500 0.7500 0.0000  4 Ce 2.95, 4 Cl 2.96

***

[9]
Computed, not measured: CeICl3 after structural relaxation at the PBE level of DFT.

Lattice parameters (Å, degrees): 11.2360 8.5006 9.0648 90.00 122.07 90.00
Last column: nearest neighbours and their distance in Å.
Space group C2/m (No. 12)
Symmetry-distinct sites (fractional):
Ce: 0.2104 0.0000 0.0426  6 Cl 2.69-2.86
I: 0.0306 0.5000 0.3511  1 I 3.12, 1 Ce 3.17
Cl: 0.0610 0.0000 0.2184  2 Ce 2.69-2.86
Cl: 0.2225 0.3066 0.1517  2 Ce 2.77-2.79

***

[10]
Computed, not measured: Ce2I4Cl after structural relaxation at the PBE level of DFT.

Lattice parameters (Å, degrees): 5.6658 5.6658 30.5560 90.00 90.00 120.00
Last column: nearest neighbours and their distance in Å.
Space group R-3m (No. 166, hexagonal axes)
Symmetry-distinct sites (fractional):
Ce: 0.0000 0.0000 0.0911  1 Cl 2.78
I: 0.0000 0.0000 0.2036  4 Ce 3.44-3.48
I: 0.0000 0.0000 0.3967  3 Ce 3.38
Cl: 0.0000 0.0000 0.0000  2 Ce 2.78

***

[11]
Computed, not measured: CeICl3 after structural relaxation at the PBE level of DFT.

Lattice parameters (Å, degrees): 9.6509 4.2073 9.7403 90.00 90.00 90.00
Last column: nearest neighbours and their distance in Å.
Space group Pmma (No. 51)
Symmetry-distinct sites (fractional):
Ce: 0.2500 0.0000 0.2221  5 Cl 2.51-2.74
I: 0.2500 0.0000 0.5251  1 Ce 2.95
Cl: 0.0683 0.5000 0.2274  2 Ce 2.74
Cl: 0.2500 0.0000 0.9644  1 Ce 2.51

***

[12]
Computed, not measured: Ce2I3Cl2 after structural relaxation at the PBE level of DFT.

Lattice parameters (Å, degrees): 14.4524 4.2283 8.4134 90.00 105.29 90.00
Last column: nearest neighbours and their distance in Å.
Space group C2/m (No. 12)
Symmetry-distinct sites (fractional):
Ce: 0.1820 0.0000 0.1991  3 Cl 2.89-3.00
I: 0.0000 0.5000 0.0000  4 Ce 3.45, 2 I 3.83
I: 0.1301 0.5000 0.4593  3 Ce 3.27-3.39
Cl: 0.1906 0.0000 0.8463  3 Ce 2.89-3.00

***

no.,uncorrected formation energy (meV per atom),DOS(E_F) (states/eV per cell)
1,-1774.9,43.8
2,-2212.7,25.5
3,-2213.0,15.9
4,-352.7,16.0
5,-1748.5,28.5
6,-626.6,16.4
7,-2058.8,8.5
8,-1844.5,15.4
9,-1719.7,16.2
10,-1352.8,59.3
11,-1702.7,3.4
12,-1624.6,29.5